--- P ---
Material: Be2Tl2Ni
Method: DFT, GGA-PBE
State: optimized geometry

Cell: 5.1309 5.1309 6.5853 Å, 90.00 90.00 90.00°
Sites, in units of the cell vectors:
Be 0.0000 0.0000 0.1630
Be 0.0000 0.0000 0.8370
Be 0.5000 0.5000 0.3370
Be 0.5000 0.5000 0.6630
Tl 0.0000 0.5000 0.2500
Tl 0.0000 0.5000 0.7500
Tl 0.5000 0.0000 0.2500
Tl 0.5000 0.0000 0.7500
Ni 0.0000 0.0000 0.5000
Ni 0.5000 0.5000 0.0000

Computed properties:
* spin magnetization: 0.00 μB/f.u.
* volume: 87 Å³/f.u.

---

--- Q ---
Material: Be2Tl2Ni
Method: DFT, GGA-PBE
State: optimized geometry

Cell: 6.3390 6.3390 3.9717 Å, 90.00 90.00 90.00°
Sites, in units of the cell vectors:
Be 0.1321 0.3679 0.0000
Be 0.3679 0.8679 0.0000
Be 0.6321 0.1321 0.0000
Be 0.8679 0.6321 0.0000
Tl 0.1787 0.6787 0.5000
Tl 0.3213 0.1787 0.5000
Tl 0.6787 0.8213 0.5000
Tl 0.8213 0.3213 0.5000
Ni 0.0000 0.0000 0.0000
Ni 0.5000 0.5000 0.0000

Computed properties:
* spin magnetization: 0.00 μB/f.u.
* volume: 80 Å³/f.u.

---

Which structure wins on stability? Q wins.

---

--- P ---
Material: TmBe2Ni2
Method: DFT, GGA-PBE
State: optimized geometry

Cell: 9.5416 9.5416 9.5416 Å, 157.25 157.25 32.39°
Sites, in units of the cell vectors:
Tm 0.1244 0.1244 0.0000
Tm 0.8756 0.8756 0.0000
Be 0.2500 0.7500 0.5000
Be 0.4365 0.4365 0.0000
Be 0.5635 0.5635 0.0000
Be 0.7500 0.2500 0.5000
Ni 0.0000 0.5000 0.5000
Ni 0.3130 0.3130 0.0000
Ni 0.5000 0.0000 0.5000
Ni 0.6870 0.6870 0.0000

Computed properties:
* spin magnetization: 0.00 μB/f.u.
* volume: 65 Å³/f.u.

---

--- Q ---
Material: TmBe2Ni2
Method: DFT, GGA-PBE
State: optimized geometry

Cell: 3.7159 3.7159 9.3246 Å, 90.00 90.00 90.00°
Sites, in units of the cell vectors:
Tm 0.0000 0.0000 0.0000
Tm 0.5000 0.5000 0.5000
Be 0.0000 0.0000 0.3736
Be 0.0000 0.0000 0.6264
Be 0.5000 0.5000 0.1264
Be 0.5000 0.5000 0.8736
Ni 0.0000 0.5000 0.2500
Ni 0.0000 0.5000 0.7500
Ni 0.5000 0.0000 0.2500
Ni 0.5000 0.0000 0.7500

Computed properties:
* spin magnetization: 0.00 μB/f.u.
* volume: 64 Å³/f.u.

---

Which structure wins on stability? Q wins.

---

--- P ---
Material: Tm2BeNi
Method: DFT, GGA-PBE
State: optimized geometry

Cell: 3.7644 3.7644 26.3082 Å, 90.00 90.00 120.00°
Sites, in units of the cell vectors:
Tm 0.0000 0.0000 0.1103
Tm 0.0000 0.0000 0.8897
Tm 0.3333 0.6667 0.5564
Tm 0.3333 0.6667 0.7770
Tm 0.6667 0.3333 0.2230
Tm 0.6667 0.3333 0.4436
Be 0.0000 0.0000 0.0000
Be 0.3333 0.6667 0.6667
Be 0.6667 0.3333 0.3333
Ni 0.0000 0.0000 0.5000
Ni 0.3333 0.6667 0.1667
Ni 0.6667 0.3333 0.8333

Computed properties:
* spin magnetization: 0.00 μB/f.u.
* volume: 108 Å³/f.u.

---

--- Q ---
Material: Tm2BeNi
Method: DFT, GGA-PBE
State: optimized geometry

Cell: 3.3575 3.3575 6.5933 Å, 90.00 90.00 90.00°
Sites, in units of the cell vectors:
Tm 0.0000 0.0000 0.2484
Tm 0.0000 0.0000 0.7516
Be 0.5000 0.5000 0.5000
Ni 0.5000 0.5000 0.0000

Computed properties:
* spin magnetization: 0.00 μB/f.u.
* volume: 74 Å³/f.u.

---

--- R ---
Material: Tm2BeNi
Method: DFT, GGA-PBE
State: optimized geometry

Cell: 6.6825 6.6825 6.6825 Å, 90.00 90.00 90.00°
Sites, in units of the cell vectors:
Tm 0.2500 0.2500 0.2500
Tm 0.2500 0.2500 0.7500
Tm 0.2500 0.7500 0.2500
Tm 0.2500 0.7500 0.7500
Tm 0.7500 0.2500 0.2500
Tm 0.7500 0.2500 0.7500
Tm 0.7500 0.7500 0.2500
Tm 0.7500 0.7500 0.7500
Be 0.0000 0.0000 0.0000
Be 0.0000 0.5000 0.5000
Be 0.5000 0.0000 0.5000
Be 0.5000 0.5000 0.0000
Ni 0.0000 0.0000 0.5000
Ni 0.0000 0.5000 0.0000
Ni 0.5000 0.0000 0.0000
Ni 0.5000 0.5000 0.5000

Computed properties:
* spin magnetization: 0.00 μB/f.u.
* volume: 75 Å³/f.u.

---

Which structure wins on stability? Q wins.

---

--- P ---
Material: TmBeNi
Method: DFT, GGA-PBE
State: optimized geometry

Cell: 3.8860 3.8860 3.6508 Å, 90.00 90.00 120.00°
Sites, in units of the cell vectors:
Tm 0.0000 0.0000 0.0000
Be 0.6667 0.3333 0.5000
Ni 0.3333 0.6667 0.5000

Computed properties:
* spin magnetization: 0.00 μB/f.u.
* volume: 48 Å³/f.u.

---

--- Q ---
Material: TmBeNi
Method: DFT, GGA-PBE
State: optimized geometry

Cell: 3.5979 3.5979 13.5220 Å, 90.00 90.00 120.00°
Sites, in units of the cell vectors:
Tm 0.0000 0.0000 0.0000
Tm 0.3333 0.6667 0.6667
Tm 0.6667 0.3333 0.3333
Be 0.0000 0.0000 0.2010
Be 0.3333 0.6667 0.8676
Be 0.6667 0.3333 0.5343
Ni 0.0000 0.0000 0.4943
Ni 0.3333 0.6667 0.1609
Ni 0.6667 0.3333 0.8276

Computed properties:
* spin magnetization: 0.00 μB/f.u.
* volume: 51 Å³/f.u.

---

Which structure wins on stability? P wins.

---

--- P ---
Material: BeVNi6
Method: DFT, GGA-PBE
State: optimized geometry

Cell: 4.9539 4.9539 3.4741 Å, 90.00 90.00 90.00°
Sites, in units of the cell vectors:
Be 0.0000 0.0000 0.0000
V 0.5000 0.5000 0.0000
Ni 0.0000 0.5000 0.0000
Ni 0.2471 0.2471 0.5000
Ni 0.2471 0.7529 0.5000
Ni 0.5000 0.0000 0.0000
Ni 0.7529 0.2471 0.5000
Ni 0.7529 0.7529 0.5000

Computed properties:
* spin magnetization: 0.00 μB/f.u.
* volume: 85 Å³/f.u.

---

--- Q ---
Material: BeVNi6
Method: DFT, GGA-PBE
State: optimized geometry

Cell: 5.7842 7.8719 4.7961 Å, 90.00 126.52 90.00°
Sites, in units of the cell vectors:
Be 0.0000 0.0000 0.0000
Be 0.5000 0.5000 0.0000
V 0.0000 0.5000 0.5000
V 0.5000 0.0000 0.5000
Ni 0.0094 0.2384 0.2507
Ni 0.0094 0.7616 0.2507
Ni 0.2503 0.0000 0.7723
Ni 0.2497 0.5000 0.2277
Ni 0.4906 0.2616 0.7493
Ni 0.4906 0.7384 0.7493
Ni 0.5094 0.2616 0.2507
Ni 0.5094 0.7384 0.2507
Ni 0.7497 0.0000 0.2277
Ni 0.7503 0.5000 0.7723
Ni 0.9906 0.2384 0.7493
Ni 0.9906 0.7616 0.7493

Computed properties:
* spin magnetization: 0.00 μB/f.u.
* volume: 88 Å³/f.u.

---

Which structure wins on stability? P wins.

---

--- P ---
Material: YBe3Ni
Method: DFT, GGA-PBE
State: optimized geometry

Cell: 4.0880 4.0880 4.0880 Å, 90.00 90.00 90.00°
Sites, in units of the cell vectors:
Y 0.0000 0.0000 0.0000
Be 0.0000 0.5000 0.5000
Be 0.5000 0.0000 0.5000
Be 0.5000 0.5000 0.0000
Ni 0.5000 0.5000 0.5000

Computed properties:
* spin magnetization: 0.00 μB/f.u.
* volume: 68 Å³/f.u.

---

--- Q ---
Material: YBe3Ni
Method: DFT, GGA-PBE
State: optimized geometry

Cell: 4.8258 4.8258 4.8258 Å, 90.00 90.00 90.00°
Sites, in units of the cell vectors:
Y 0.0000 0.0000 0.0000
Be 0.0000 0.0000 0.5000
Be 0.0000 0.5000 0.0000
Be 0.5000 0.0000 0.0000
Ni 0.5000 0.5000 0.5000

Computed properties:
* spin magnetization: 0.02 μB/f.u.
* volume: 112 Å³/f.u.

---

Which structure wins on stability? P wins.

---

--- P ---
Material: Y2Be2Ni
Method: DFT, GGA-PBE
State: optimized geometry

Cell: 5.3245 5.3245 6.5187 Å, 90.00 90.00 90.00°
Sites, in units of the cell vectors:
Y 0.0000 0.5000 0.2500
Y 0.0000 0.5000 0.7500
Y 0.5000 0.0000 0.2500
Y 0.5000 0.0000 0.7500
Be 0.0000 0.0000 0.1523
Be 0.0000 0.0000 0.8477
Be 0.5000 0.5000 0.3477
Be 0.5000 0.5000 0.6523
Ni 0.0000 0.0000 0.5000
Ni 0.5000 0.5000 0.0000

Computed properties:
* spin magnetization: 0.00 μB/f.u.
* volume: 92 Å³/f.u.

---

--- Q ---
Material: Y2Be2Ni
Method: DFT, GGA-PBE
State: optimized geometry

Cell: 6.6643 6.6643 4.0175 Å, 90.00 90.00 90.00°
Sites, in units of the cell vectors:
Y 0.1846 0.3154 0.0000
Y 0.3154 0.8154 0.0000
Y 0.6846 0.1846 0.0000
Y 0.8154 0.6846 0.0000
Be 0.1141 0.6141 0.5000
Be 0.3859 0.1141 0.5000
Be 0.6141 0.8859 0.5000
Be 0.8859 0.3859 0.5000
Ni 0.0000 0.0000 0.5000
Ni 0.5000 0.5000 0.5000

Computed properties:
* spin magnetization: 0.00 μB/f.u.
* volume: 89 Å³/f.u.

---

Which structure wins on stability? Q wins.

---

--- P ---
Material: BeZnNi4
Method: DFT, GGA-PBE
State: optimized geometry

Cell: 2.5586 2.5586 9.6911 Å, 90.00 90.00 90.00°
Sites, in units of the cell vectors:
Be 0.0000 0.0000 0.0000
Zn 0.5000 0.5000 0.5000
Ni 0.0000 0.0000 0.3154
Ni 0.0000 0.0000 0.6846
Ni 0.5000 0.5000 0.1382
Ni 0.5000 0.5000 0.8618

Computed properties:
* spin magnetization: 0.00 μB/f.u.
* volume: 63 Å³/f.u.

---

--- Q ---
Material: BeZnNi4
Method: DFT, GGA-PBE
State: optimized geometry

Cell: 4.6369 4.6369 4.6369 Å, 60.00 60.00 60.00°
Sites, in units of the cell vectors:
Be 0.0000 0.0000 0.0000
Zn 0.2500 0.2500 0.2500
Ni 0.1243 0.6252 0.6252
Ni 0.6252 0.1243 0.6252
Ni 0.6252 0.6252 0.1243
Ni 0.6252 0.6252 0.6252

Computed properties:
* spin magnetization: 1.58 μB/f.u.
* volume: 70 Å³/f.u.

---

Which structure wins on stability? P wins.

---

--- P ---
Material: ZrBeNi3
Method: DFT, GGA-PBE
State: optimized geometry

Cell: 4.0005 4.0005 4.0005 Å, 90.00 90.00 90.00°
Sites, in units of the cell vectors:
Zr 0.0000 0.0000 0.0000
Be 0.5000 0.5000 0.5000
Ni 0.0000 0.5000 0.5000
Ni 0.5000 0.0000 0.5000
Ni 0.5000 0.5000 0.0000

Computed properties:
* spin magnetization: 0.00 μB/f.u.
* volume: 64 Å³/f.u.

---

--- Q ---
Material: ZrBeNi3
Method: DFT, GGA-PBE
State: optimized geometry

Cell: 4.5525 4.5525 4.5525 Å, 90.00 90.00 90.00°
Sites, in units of the cell vectors:
Zr 0.0000 0.0000 0.0000
Be 0.5000 0.5000 0.5000
Ni 0.0000 0.0000 0.5000
Ni 0.0000 0.5000 0.0000
Ni 0.5000 0.0000 0.0000

Computed properties:
* spin magnetization: 0.00 μB/f.u.
* volume: 94 Å³/f.u.

---

Which structure wins on stability? P wins.

---

--- P ---
Material: ZrBe3Ni
Method: DFT, GGA-PBE
State: optimized geometry

Cell: 4.5317 4.5317 4.5317 Å, 90.00 90.00 90.00°
Sites, in units of the cell vectors:
Zr 0.0000 0.0000 0.0000
Be 0.0000 0.0000 0.5000
Be 0.0000 0.5000 0.0000
Be 0.5000 0.0000 0.0000
Ni 0.5000 0.5000 0.5000

Computed properties:
* spin magnetization: 0.00 μB/f.u.
* volume: 93 Å³/f.u.

---

--- Q ---
Material: ZrBe3Ni
Method: DFT, GGA-PBE
State: optimized geometry

Cell: 3.9501 3.9501 3.9501 Å, 90.00 90.00 90.00°
Sites, in units of the cell vectors:
Zr 0.0000 0.0000 0.0000
Be 0.0000 0.5000 0.5000
Be 0.5000 0.0000 0.5000
Be 0.5000 0.5000 0.0000
Ni 0.5000 0.5000 0.5000

Computed properties:
* spin magnetization: 0.00 μB/f.u.
* volume: 62 Å³/f.u.

---

Which structure wins on stability? Q wins.

---

--- P ---
Material: NpBeRh2
Method: DFT, GGA-PBE
State: optimized geometry

Cell: 2.9463 2.9463 6.7860 Å, 90.00 90.00 90.00°
Sites, in units of the cell vectors:
Np 0.0000 0.0000 0.0000
Be 0.0000 0.0000 0.5000
Rh 0.5000 0.5000 0.3023
Rh 0.5000 0.5000 0.6977

Computed properties:
* spin magnetization: 3.34 μB/f.u.
* volume: 59 Å³/f.u.

---

--- Q ---
Material: NpBeRh2
Method: DFT, GGA-PBE
State: optimized geometry

Cell: 4.1711 4.1711 3.6126 Å, 90.00 90.00 90.00°
Sites, in units of the cell vectors:
Np 0.0000 0.0000 0.0000
Be 0.5000 0.5000 0.0000
Rh 0.0000 0.5000 0.5000
Rh 0.5000 0.0000 0.5000

Computed properties:
* spin magnetization: 3.18 μB/f.u.
* volume: 63 Å³/f.u.

---

Which structure wins on stability? P wins.

---

--- P ---
Material: NpBeSi2
Method: DFT, GGA-PBE
State: optimized geometry

Cell: 3.9133 16.0955 3.9564 Å, 90.00 90.00 90.00°
Sites, in units of the cell vectors:
Np 0.0000 0.1068 0.2500
Np 0.0000 0.8932 0.7500
Np 0.5000 0.3932 0.7500
Np 0.5000 0.6068 0.2500
Be 0.0000 0.3243 0.2500
Be 0.0000 0.6757 0.7500
Be 0.5000 0.1757 0.7500
Be 0.5000 0.8243 0.2500
Si 0.0000 0.2505 0.7500
Si 0.0000 0.4612 0.2500
Si 0.0000 0.5388 0.7500
Si 0.0000 0.7495 0.2500
Si 0.5000 0.0388 0.7500
Si 0.5000 0.2495 0.2500
Si 0.5000 0.7505 0.7500
Si 0.5000 0.9612 0.2500

Computed properties:
* spin magnetization: 4.08 μB/f.u.
* volume: 62 Å³/f.u.

---

--- Q ---
Material: NpBeSi2
Method: DFT, GGA-PBE
State: optimized geometry

Cell: 3.9279 3.9279 14.4370 Å, 90.00 90.00 120.00°
Sites, in units of the cell vectors:
Np 0.0000 0.0000 0.0000
Np 0.3333 0.6667 0.6667
Np 0.6667 0.3333 0.3333
Be 0.0000 0.0000 0.5000
Be 0.3333 0.6667 0.1667
Be 0.6667 0.3333 0.8333
Si 0.0000 0.0000 0.2075
Si 0.0000 0.0000 0.7925
Si 0.3333 0.6667 0.4592
Si 0.3333 0.6667 0.8741
Si 0.6667 0.3333 0.1259
Si 0.6667 0.3333 0.5408

Computed properties:
* spin magnetization: 3.67 μB/f.u.
* volume: 64 Å³/f.u.

---

Which structure wins on stability? P wins.

---

--- P ---
Material: NpTi2Be
Method: DFT, GGA-PBE
State: optimized geometry

Cell: 2.7506 2.7506 28.8168 Å, 90.00 90.00 120.00°
Sites, in units of the cell vectors:
Np 0.0000 0.0000 0.0000
Np 0.3333 0.6667 0.6667
Np 0.6667 0.3333 0.3333
Ti 0.0000 0.0000 0.0970
Ti 0.0000 0.0000 0.9030
Ti 0.3333 0.6667 0.5697
Ti 0.3333 0.6667 0.7637
Ti 0.6667 0.3333 0.2363
Ti 0.6667 0.3333 0.4303
Be 0.0000 0.0000 0.5000
Be 0.3333 0.6667 0.1667
Be 0.6667 0.3333 0.8333

Computed properties:
* spin magnetization: 0.76 μB/f.u.
* volume: 63 Å³/f.u.

---

--- Q ---
Material: NpTi2Be
Method: DFT, GGA-PBE
State: optimized geometry

Cell: 4.1918 4.1918 3.6553 Å, 90.00 90.00 90.00°
Sites, in units of the cell vectors:
Np 0.0000 0.0000 0.0000
Ti 0.0000 0.5000 0.5000
Ti 0.5000 0.0000 0.5000
Be 0.5000 0.5000 0.0000

Computed properties:
* spin magnetization: 3.44 μB/f.u.
* volume: 64 Å³/f.u.

---

Which structure wins on stability? Q wins.